An optimized crystal structure of Tc2AgSn2, computed with PBE.

Output
The symmetry is P4/mbm, No. 127. For the offset from the most stable computed form, the calculation gives 0.0 meV per atom. The calculated volume is 18.614 A^3/atom. The energy of formation is 0.2450 eV/atom. Its magnetic moment is 0.000 μB/cell. The energy is -6.073 eV per atom.

abc: 7.2993 7.2993 3.4936
angles: 90.00 90.00 90.00
Atoms (fractional coordinates):
Sn 0.8373 0.3373 0.5000
Sn 0.3373 0.1627 0.5000
Sn 0.6627 0.8373 0.5000
Sn 0.1627 0.6627 0.5000
Ag 0.5000 0.5000 0.0000
Ag 0.0000 0.0000 0.0000
Tc 0.3657 0.8657 0.0000
Tc 0.8657 0.6343 0.0000
Tc 0.6343 0.1343 0.0000
Tc 0.1343 0.3657 0.0000

---

An optimized crystal structure of Tc2AgSn2, computed with PBE.

Output
The symmetry is I4/mmm, No. 139. For the offset from the most stable computed form, the calculation gives 142.2 meV per atom. The calculated volume is 21.329 A^3/atom. The energy of formation is 0.3872 eV/atom. Its magnetic moment is 0.000 μB/cell. The energy is -5.931 eV per atom.

abc: 3.5350 3.5350 8.8926
angles: 78.54 78.54 90.00
Atoms (fractional coordinates):
Tc 0.7500 0.2500 0.5000
Tc 0.2500 0.7500 0.5000
Sn 0.3857 0.3857 0.2286
Sn 0.6143 0.6143 0.7714
Ag 0.0000 0.0000 0.0000